LiYCl: optimized geometry, PBEsol.

D(E_F) ... 1.7 states/eV/f.u.
E_form (uncorrected) ... -775.7 meV/atom
Mass density ... 3.26 g cm⁻³
ΔE to the lowest computed polymorph ... 57.5 meV per atom

Unit cell a=3.2691 b=3.2691 c=12.5270 alpha=90.00 beta=90.00 gamma=90.00
With the nearest neighbours (Å) after each atom.
Space group I4mm (No. 107)
Inequivalent atoms, fractional coordinates:
1 Li 0.0000 0.0000 0.0000 (multiplicity 2)  4 Cl 3.04, 4 Li 3.27
2 Y 0.0000 0.0000 0.7027 (multiplicity 2)  4 Cl 2.90
3 Cl 0.0000 0.0000 0.3425 (multiplicity 2)  4 Y 2.90, 4 Li 3.04


Li2YCl: optimized geometry, PBEsol.

D(E_F) ... 2.1 states/eV/f.u.
E_form (uncorrected) ... -584.3 meV/atom
Mass density ... 2.71 g cm⁻³
ΔE to the lowest computed polymorph ... 105.2 meV per atom

Unit cell a=10.2470 b=3.1945 c=5.7936 alpha=90.00 beta=116.79 gamma=90.00
With the nearest neighbours (Å) after each atom.
Space group Cm (No. 8)
Inequivalent atoms, fractional coordinates:
1 Li 0.0000 0.0000 0.0000 (multiplicity 2)  2 Cl 2.64, 1 Li 2.91
2 Li 0.2067 0.0000 0.7823 (multiplicity 2)  2 Cl 2.58
3 Y 0.3779 0.0000 0.4065 (multiplicity 2)  3 Cl 2.75-2.86
4 Cl 0.1445 0.5000 0.3981 (multiplicity 2)  4 Li 2.58-2.64, 3 Y 2.75-2.86